A plane-wave DFT calculation with GGA-PBE was carried out for La4SmErTm2 after structural relaxation.

```
data_La4SmErTm2
_cell_length_a 5.937
_cell_length_b 5.932
_cell_length_c 7.786
_cell_angle_alpha 90.00
_cell_angle_beta 90.02
_cell_angle_gamma 90.00
_space_group_name_H-M_alt 'P 1 2/m 1'
_space_group_IT_number 10
loop_
_space_group_symop_operation_xyz
'x,y,z'
'-x,-y,-z'
'-x,y,-z'
'x,-y,z'
loop_
_atom_site_label
_atom_site_type_symbol
_atom_site_fract_x
_atom_site_fract_y
_atom_site_fract_z
La1 La 0.001 0.000 0.245
La2 La 0.499 0.500 0.244
Sm1 Sm 0.500 0.000 0.500
Er1 Er 0.000 0.500 0.000
Tm1 Tm 0.000 0.500 0.500
Tm2 Tm 0.500 0.000 0.000
```

A plane-wave DFT calculation with GGA-PBE was carried out for La2Sm6Er3Tm after structural relaxation.

```
data_La2Sm6Er3Tm
_cell_length_a 6.252
_cell_length_b 10.831
_cell_length_c 11.946
_cell_angle_alpha 90.00
_cell_angle_beta 100.07
_cell_angle_gamma 90.00
_space_group_name_H-M_alt 'C 1 2/m 1'
_space_group_IT_number 12
loop_
_space_group_symop_operation_xyz
'x,y,z'
'-x,-y,-z'
'-x,y,-z'
'x,-y,z'
'x+1/2,y+1/2,z'
'-x+1/2,-y+1/2,-z'
'-x+1/2,y+1/2,-z'
'x+1/2,-y+1/2,z'
loop_
_atom_site_label
_atom_site_type_symbol
_atom_site_fract_x
_atom_site_fract_y
_atom_site_fract_z
La1 La 0.000 0.167 0.000
Sm1 Sm 0.246 0.500 0.745
Sm2 Sm 0.249 0.166 0.745
Er1 Er 0.000 0.000 0.500
Er2 Er 0.000 0.334 0.500
Tm1 Tm 0.000 0.500 0.000
```

A plane-wave DFT calculation with GGA-PBE was carried out for LaSm6Er3Tm2 after structural relaxation.

```
data_LaSm6Er3Tm2
_cell_length_a 6.218
_cell_length_b 10.767
_cell_length_c 11.852
_cell_angle_alpha 90.00
_cell_angle_beta 100.06
_cell_angle_gamma 90.00
_space_group_name_H-M_alt 'C 1 2/m 1'
_space_group_IT_number 12
loop_
_space_group_symop_operation_xyz
'x,y,z'
'-x,-y,-z'
'-x,y,-z'
'x,-y,z'
'x+1/2,y+1/2,z'
'-x+1/2,-y+1/2,-z'
'-x+1/2,y+1/2,-z'
'x+1/2,-y+1/2,z'
loop_
_atom_site_label
_atom_site_type_symbol
_atom_site_fract_x
_atom_site_fract_y
_atom_site_fract_z
La1 La 0.000 0.000 0.000
Sm1 Sm 0.248 0.333 0.748
Sm2 Sm 0.250 0.000 0.747
Er1 Er 0.000 0.167 0.500
Er2 Er 0.000 0.500 0.500
Tm1 Tm 0.000 0.334 0.000
```

A plane-wave DFT calculation with GGA-PBE was carried out for La2SmEr3Tm6 after structural relaxation.

```
data_La2SmEr3Tm6
_cell_length_a 6.158
_cell_length_b 10.658
_cell_length_c 11.704
_cell_angle_alpha 90.00
_cell_angle_beta 100.09
_cell_angle_gamma 90.00
_space_group_name_H-M_alt 'C 1 2/m 1'
_space_group_IT_number 12
loop_
_space_group_symop_operation_xyz
'x,y,z'
'-x,-y,-z'
'-x,y,-z'
'x,-y,z'
'x+1/2,y+1/2,z'
'-x+1/2,-y+1/2,-z'
'-x+1/2,y+1/2,-z'
'x+1/2,-y+1/2,z'
loop_
_atom_site_label
_atom_site_type_symbol
_atom_site_fract_x
_atom_site_fract_y
_atom_site_fract_z
La1 La 0.000 0.167 0.000
Sm1 Sm 0.000 0.500 0.000
Er1 Er 0.000 0.000 0.500
Er2 Er 0.000 0.333 0.500
Tm1 Tm 0.246 0.500 0.745
Tm2 Tm 0.248 0.166 0.744
```

What size of the total moment values result from the calculations? In sequence: 0.0; 0.0; 0.0; 0.0 μB per cell.
What energy values result from the calculations? In sequence: -4.67; -4.67; -4.63; -4.56 eV per atom.